# 1
The following is a GGA-PBEsol calculation of a relaxed NaTl3In crystal, from Alexandria via LeMat-Bulk.

a = 5.7117 Å, b = 5.7117 Å, c = 5.7117 Å
α = 90.00°, β = 90.00°, γ = 90.00°
Space group Pm-3m (No. 221)
Unique sites:
Na 0.0000 0.0000 0.0000
Tl 0.0000 0.5000 0.5000
In 0.5000 0.5000 0.5000

Values from the calculation:
- E_form: 0.25 eV/atom
- Volume: 186.34 Å³ per cell
- Spin magnetization: 0.0 μB per formula unit


# 2
The following is a GGA-PBEsol calculation of a relaxed Na2Tl2In crystal, from Alexandria via LeMat-Bulk.

a = 8.0296 Å, b = 8.0296 Å, c = 4.2489 Å
α = 90.00°, β = 90.00°, γ = 90.00°
Space group P4/mbm (No. 127)
Unique sites:
Na 0.1649 0.3351 0.0000
Tl 0.1372 0.6372 0.5000
In 0.0000 0.0000 0.5000

Values from the calculation:
- E_form: -0.05 eV/atom
- Volume: 273.94 Å³ per cell
- Spin magnetization: 0.0 μB per formula unit


# 3
The following is a GGA-PBEsol calculation of a relaxed NaYIn2 crystal, from Alexandria via LeMat-Bulk.

a = 7.3481 Å, b = 7.3481 Å, c = 7.3481 Å
α = 90.00°, β = 90.00°, γ = 90.00°
Space group Fm-3m (No. 225)
Unique sites:
Na 0.0000 0.0000 0.0000
Y 0.0000 0.0000 0.5000
In 0.2500 0.2500 0.2500

Values from the calculation:
- E_form: -0.31 eV/atom
- Volume: 396.76 Å³ per cell
- Spin magnetization: 0.0 μB per formula unit


# 4
The following is a GGA-PBEsol calculation of a relaxed Nb3In crystal, from Alexandria via LeMat-Bulk.

a = 3.4372 Å, b = 4.6068 Å, c = 9.3182 Å
α = 90.00°, β = 90.00°, γ = 90.00°
Space group Cmmm (No. 65)
Unique sites:
Nb 0.0000 0.0000 0.0000
Nb 0.0000 0.5000 0.2428
In 0.0000 0.0000 0.5000

Values from the calculation:
- E_form: 0.02 eV/atom
- Volume: 147.55 Å³ per cell
- Spin magnetization: 0.0 μB per formula unit